# Dy2RhAu (PBE, optimized geometry)
data_Dy2RhAu
_cell_length_a 3.532
_cell_length_b 3.532
_cell_length_c 6.959
_cell_angle_alpha 90.00
_cell_angle_beta 90.00
_cell_angle_gamma 90.00
_space_group_name_H-M_alt 'P 4/m m m'
_space_group_IT_number 123
_space_group_name_Hall '-P 4 2'
loop_
_atom_site_label
_atom_site_type_symbol
_atom_site_fract_x
_atom_site_fract_y
_atom_site_fract_z
Dy1 Dy 0.000 0.000 0.237
Rh1 Rh 0.500 0.500 0.000
Au1 Au 0.500 0.500 0.500
# total energy: -23.26 eV/cell
# DFT formation energy: -0.86 eV/atom